# FeSeO2F, optimized geometry, DFT PBE+U
data_FeSeO2F
_chemical_formula_sum 'Fe1 Se1 O2 F1'
_symmetry_space_group_name_H-M 'P 4/m m m'
_symmetry_Int_Tables_number 123
_symmetry_space_group_name_Hall '-P 4 2'
_cell_length_a 4.435
_cell_length_b 4.435
_cell_length_c 3.656
_cell_angle_alpha 90.00
_cell_angle_beta 90.00
_cell_angle_gamma 90.00
loop_
_atom_site_label
_atom_site_type_symbol
_atom_site_fract_x
_atom_site_fract_y
_atom_site_fract_z
Fe1 Fe 0.000 0.000 0.000
Se1 Se 0.500 0.500 0.000
O1 O 0.000 0.500 0.500
F1 F 0.000 0.000 0.500
# - Magnetic moment: 6.62 μB per cell
# - VASP energy: -3.80 eV/atom
# - N(E_F): 2.6 states/eV/f.u.
# - ρ: 4.3 g cm⁻³